! La2SnSe2, optimized geometry, DFT PBE; values from VASP
! **Uncorrected formation energy**: -127 kJ/mol of atoms
! **Relative energy among the computed polymorphs**: 0.59 kJ per mole of atoms
! **Calculated volume**: 157.0 Å³/cell
&SYSTEM
  ibrav = 0, nat = 5, ntyp = 3
/
ATOMIC_SPECIES
La 138.91 La.upf
Sn 118.71 Sn.upf
Se 78.96 Se.upf
CELL_PARAMETERS angstrom
-2.915 2.915 4.618
2.915 -2.915 4.618
2.915 2.915 -4.618
ATOMIC_POSITIONS crystal
La 0.250 0.750 0.500
La 0.750 0.250 0.500
Sn 0.000 0.000 0.000
Se 0.322 0.322 0.000
Se 0.678 0.678 0.000